A relaxed structure of Th2GePt6. Source: Alexandria, functional PBE.

Computed properties:
Its energy relative to the elements is -0.987 eV per atom. Its crystal system is monoclinic. The relative energy among the computed polymorphs is 0.028 eV per atom. The magnetization comes out at 0.000 Bohr magnetons per cell.

a = 5.7586 Å, b = 5.7075 Å, c = 6.3022 Å
α = 78.14°, β = 90.00°, γ = 120.30°
Fractional coordinates of all 9 atoms:
Th1 0.6427 0.2854 0.1550
Th2 0.3573 0.7146 0.8450
Ge1 0.0000 0.0000 0.0000
Pt1 0.8759 0.2636 0.6851
Pt2 0.8729 0.7459 0.7013
Pt3 0.3877 0.2636 0.6851
Pt4 0.1241 0.7364 0.3149
Pt5 0.1271 0.2541 0.2987
Pt6 0.6123 0.7364 0.3149